Entry 1:
## LiLa4Hg5 (PBE)

Data for an optimized crystal structure of LiLa4Hg5.

Results
VASP energy in eV/atom: -2.77

```
data_LiLa4Hg5
_chemical_formula_sum 'Li1 La4 Hg5'
_space_group_name_H-M_alt 'P 4/m m m'
_space_group_IT_number 123
_space_group_name_Hall '-P 4 2'
_cell_length_a 3.8426
_cell_length_b 3.8426
_cell_length_c 19.0405
_cell_angle_alpha 90.00
_cell_angle_beta 90.00
_cell_angle_gamma 90.00
loop_
_atom_site_label
_atom_site_fract_x
_atom_site_fract_y
_atom_site_fract_z
Li1 0.0000 0.0000 0.0000
La1 0.0000 0.0000 0.1855
La2 0.0000 0.0000 0.3944
Hg1 0.5000 0.5000 0.0806
Hg2 0.5000 0.5000 0.2904
Hg3 0.5000 0.5000 0.5000
```



Entry 2:
## Li2LaHg (PBE)

Data for an optimized crystal structure of Li2LaHg.

Results
VASP energy in eV/atom: -2.45

```
data_Li2LaHg
_chemical_formula_sum 'Li2 La1 Hg1'
_space_group_name_H-M_alt 'P 4 m m'
_space_group_IT_number 99
_space_group_name_Hall 'P 4 -2'
_cell_length_a 3.5769
_cell_length_b 3.5769
_cell_length_c 7.6406
_cell_angle_alpha 90.00
_cell_angle_beta 90.00
_cell_angle_gamma 90.00
loop_
_atom_site_label
_atom_site_fract_x
_atom_site_fract_y
_atom_site_fract_z
Li1 0.0000 0.0000 0.0000
Li2 0.5000 0.5000 0.1974
La1 0.5000 0.5000 0.6635
Hg1 0.0000 0.0000 0.3777
```



Entry 3:
## LiLa2Hg2 (PBE)

Data for an optimized crystal structure of LiLa2Hg2.

Results
Energy above the most stable polymorph in this dataset in meV/atom: 81

```
data_LiLa2Hg2
_chemical_formula_sum 'Li4 La8 Hg8'
_space_group_name_H-M_alt 'I b a m'
_space_group_IT_number 72
_space_group_name_Hall '-I 2 2c'
_cell_length_a 6.6660
_cell_length_b 14.1785
_cell_length_c 6.1478
_cell_angle_alpha 90.00
_cell_angle_beta 90.00
_cell_angle_gamma 90.00
loop_
_atom_site_label
_atom_site_fract_x
_atom_site_fract_y
_atom_site_fract_z
Li1 0.0000 0.0000 0.2500
La1 0.1735 0.3602 0.0000
Hg1 0.1764 0.1320 0.0000
```



Entry 4:
## Li2LaHg (PBE)

Data for an optimized crystal structure of Li2LaHg.

Results
VASP energy in eV/atom: -2.48

```
data_Li2LaHg
_chemical_formula_sum 'Li8 La4 Hg4'
_space_group_name_H-M_alt 'C m c m'
_space_group_IT_number 63
_space_group_name_Hall '-C 2c 2'
_cell_length_a 3.6523
_cell_length_b 22.4128
_cell_length_c 4.8986
_cell_angle_alpha 90.00
_cell_angle_beta 90.00
_cell_angle_gamma 90.00
loop_
_atom_site_label
_atom_site_fract_x
_atom_site_fract_y
_atom_site_fract_z
Li1 0.0000 0.0325 0.2500
Li2 0.0000 0.2429 0.7500
La1 0.0000 0.3899 0.2500
Hg1 0.0000 0.1629 0.2500
```



Entry 5:
## LiLaHg2 (PBE)

Data for an optimized crystal structure of LiLaHg2.

Results
Energy above the most stable polymorph in this dataset in meV/atom: 197

```
data_LiLaHg2
_chemical_formula_sum 'Li1 La1 Hg2'
_space_group_name_H-M_alt 'P 4 m m'
_space_group_IT_number 99
_space_group_name_Hall 'P 4 -2'
_cell_length_a 3.8816
_cell_length_b 3.8816
_cell_length_c 6.9537
_cell_angle_alpha 90.00
_cell_angle_beta 90.00
_cell_angle_gamma 90.00
loop_
_atom_site_label
_atom_site_fract_x
_atom_site_fract_y
_atom_site_fract_z
Li1 0.0000 0.0000 0.0000
La1 0.5000 0.5000 0.6479
Hg1 0.0000 0.0000 0.4042
Hg2 0.5000 0.5000 0.1217
```



Entry 6:
## LiLa3Hg3 (PBE)

Data for an optimized crystal structure of LiLa3Hg3.

Results
VASP energy in eV/atom: -2.90

```
data_LiLa3Hg3
_chemical_formula_sum 'Li4 La12 Hg12'
_space_group_name_H-M_alt 'C 1 2/m 1'
_space_group_IT_number 12
_space_group_name_Hall '-C 2y'
_cell_length_a 10.9193
_cell_length_b 4.8502
_cell_length_c 15.9557
_cell_angle_alpha 90.00
_cell_angle_beta 108.25
_cell_angle_gamma 90.00
loop_
_atom_site_label
_atom_site_fract_x
_atom_site_fract_y
_atom_site_fract_z
Li1 0.2293 0.0000 0.4094
La1 0.0154 0.5000 0.3821
La2 0.0892 0.5000 0.9211
La3 0.2416 0.5000 0.2238
Hg1 0.0415 0.0000 0.2443
Hg2 0.1233 0.0000 0.0769
Hg3 0.1481 0.0000 0.5572
```



Entry 7:
## Li2LaHg (PBE)

Data for an optimized crystal structure of Li2LaHg.

Results
VASP energy in eV/atom: -2.43

```
data_Li2LaHg
_chemical_formula_sum 'Li2 La1 Hg1'
_space_group_name_H-M_alt 'P 1 m 1'
_space_group_IT_number 6
_space_group_name_Hall 'P -2y'
_cell_length_a 3.6099
_cell_length_b 4.4807
_cell_length_c 6.6456
_cell_angle_alpha 90.00
_cell_angle_beta 105.69
_cell_angle_gamma 90.00
loop_
_atom_site_label
_atom_site_fract_x
_atom_site_fract_y
_atom_site_fract_z
Li1 0.0000 0.0000 0.0000
Li2 0.4328 0.5000 0.8680
La1 0.7374 0.0000 0.4800
Hg1 0.1175 0.5000 0.2394
```



Entry 8:
## LiLaHg3 (PBE)

Data for an optimized crystal structure of LiLaHg3.

Results
Energy above the most stable polymorph in this dataset in meV/atom: 0

```
data_LiLaHg3
_chemical_formula_sum 'Li4 La4 Hg12'
_space_group_name_H-M_alt 'C 1 2/m 1'
_space_group_IT_number 12
_space_group_name_Hall '-C 2y'
_cell_length_a 23.8265
_cell_length_b 4.4045
_cell_length_c 4.8025
_cell_angle_alpha 90.00
_cell_angle_beta 101.44
_cell_angle_gamma 90.00
loop_
_atom_site_label
_atom_site_fract_x
_atom_site_fract_y
_atom_site_fract_z
Li1 0.1448 0.0000 0.3959
La1 0.0864 0.5000 0.8364
Hg1 0.0355 0.0000 0.2847
Hg2 0.1980 0.0000 0.9480
Hg3 0.2016 0.5000 0.4501
```



Entry 9:
## LiLa5Hg3 (PBE)

Data for an optimized crystal structure of LiLa5Hg3.

Results
VASP energy in eV/atom: -3.32

```
data_LiLa5Hg3
_chemical_formula_sum 'Li2 La10 Hg6'
_space_group_name_H-M_alt 'P 63/m c m'
_space_group_IT_number 193
_space_group_name_Hall '-P 6c 2'
_cell_length_a 9.5745
_cell_length_b 9.5745
_cell_length_c 6.9897
_cell_angle_alpha 90.00
_cell_angle_beta 90.00
_cell_angle_gamma 120.00
loop_
_atom_site_label
_atom_site_fract_x
_atom_site_fract_y
_atom_site_fract_z
Li1 0.0000 0.0000 0.0000
La1 0.0000 0.3096 0.2500
La2 0.3333 0.6667 0.0000
Hg1 0.0000 0.3505 0.7500
```



Entry 10:
## Li4LaHg12 (PBE)

Data for an optimized crystal structure of Li4LaHg12.

Results
VASP energy in eV/atom: -1.10

```
data_Li4LaHg12
_chemical_formula_sum 'Li8 La2 Hg24'
_space_group_name_H-M_alt 'I m -3'
_space_group_IT_number 204
_space_group_name_Hall '-I 2 2 3'
_cell_length_a 9.4646
_cell_length_b 9.4646
_cell_length_c 9.4646
_cell_angle_alpha 90.00
_cell_angle_beta 90.00
_cell_angle_gamma 90.00
loop_
_atom_site_label
_atom_site_fract_x
_atom_site_fract_y
_atom_site_fract_z
Li1 0.2500 0.2500 0.2500
La1 0.0000 0.0000 0.0000
Hg1 0.0000 0.1592 0.3420
```



Entry 11:
## LiLaHg2 (PBE)

Data for an optimized crystal structure of LiLaHg2.

Results
Energy above the most stable polymorph in this dataset in meV/atom: 92

```
data_LiLaHg2
_chemical_formula_sum 'Li2 La2 Hg4'
_space_group_name_H-M_alt 'I -4 m 2'
_space_group_IT_number 119
_space_group_name_Hall 'I -4 -2'
_cell_length_a 5.1167
_cell_length_b 5.1167
_cell_length_c 7.2604
_cell_angle_alpha 90.00
_cell_angle_beta 90.00
_cell_angle_gamma 90.00
loop_
_atom_site_label
_atom_site_fract_x
_atom_site_fract_y
_atom_site_fract_z
Li1 0.0000 0.0000 0.0000
La1 0.0000 0.5000 0.2500
Hg1 0.0000 0.0000 0.5000
Hg2 0.0000 0.5000 0.7500
```



Entry 12:
## Li4LaHg5 (PBE)

Data for an optimized crystal structure of Li4LaHg5.

Results
VASP energy in eV/atom: -1.79

```
data_Li4LaHg5
_chemical_formula_sum 'Li4 La1 Hg5'
_space_group_name_H-M_alt 'P 4/m m m'
_space_group_IT_number 123
_space_group_name_Hall '-P 4 2'
_cell_length_a 3.4684
_cell_length_b 3.4684
_cell_length_c 17.2196
_cell_angle_alpha 90.00
_cell_angle_beta 90.00
_cell_angle_gamma 90.00
loop_
_atom_site_label
_atom_site_fract_x
_atom_site_fract_y
_atom_site_fract_z
Li1 0.0000 0.0000 0.0910
Li2 0.0000 0.0000 0.2757
La1 0.0000 0.0000 0.5000
Hg1 0.5000 0.5000 0.0000
Hg2 0.5000 0.5000 0.1835
Hg3 0.5000 0.5000 0.3672
```



Repeat the sixth record exactly.
## LiLa3Hg3 (PBE)

Data for an optimized crystal structure of LiLa3Hg3.

Results
VASP energy in eV/atom: -2.90

```
data_LiLa3Hg3
_chemical_formula_sum 'Li4 La12 Hg12'
_space_group_name_H-M_alt 'C 1 2/m 1'
_space_group_IT_number 12
_space_group_name_Hall '-C 2y'
_cell_length_a 10.9193
_cell_length_b 4.8502
_cell_length_c 15.9557
_cell_angle_alpha 90.00
_cell_angle_beta 108.25
_cell_angle_gamma 90.00
loop_
_atom_site_label
_atom_site_fract_x
_atom_site_fract_y
_atom_site_fract_z
Li1 0.2293 0.0000 0.4094
La1 0.0154 0.5000 0.3821
La2 0.0892 0.5000 0.9211
La3 0.2416 0.5000 0.2238
Hg1 0.0415 0.0000 0.2443
Hg2 0.1233 0.0000 0.0769
Hg3 0.1481 0.0000 0.5572
```



> Number 2 is which compound?

Li2LaHg